# HfAl3Zn2, optimized geometry, DFT PBE-GGA
# Total energy: -4.164 eV/atom
# Formation energy: -0.2093 eV per atom
# Magnetization: 0.00 μB/f.u.
# Symmetry: No. 65
data_HfAl3Zn2
_chemical_formula_sum 'Hf1 Al3 Zn2'
_cell_length_a 4.014
_cell_length_b 3.998
_cell_length_c 6.480
_cell_angle_alpha 107.97
_cell_angle_beta 90.00
_cell_angle_gamma 90.00
_space_group_name_H-M_alt 'P 1'
_space_group_IT_number 1
loop_
_space_group_symop_operation_xyz
'x,y,z'
loop_
_atom_site_label
_atom_site_type_symbol
_atom_site_fract_x
_atom_site_fract_y
_atom_site_fract_z
Zn1 Zn 0.000 0.671 0.341
Zn2 Zn 0.000 0.329 0.659
Al1 Al 0.500 0.500 0.000
Al2 Al 0.500 0.829 0.658
Al3 Al 0.500 0.171 0.342
Hf1 Hf 0.000 0.000 0.000



# CaReNi2, optimized geometry, DFT PBE-GGA
# Polymorph energy (0 for the lowest one): 148.9 meV/atom
# Total energy: -6.180 eV/atom
# Formation energy: 0.3231 eV per atom
# Magnetization: 0.00 μB/f.u.
# Symmetry: No. 99
data_CaReNi2
_chemical_formula_sum 'Ca1 Re1 Ni2'
_cell_length_a 2.754
_cell_length_b 2.754
_cell_length_c 7.935
_cell_angle_alpha 90.00
_cell_angle_beta 90.00
_cell_angle_gamma 90.00
_space_group_name_H-M_alt 'P 1'
_space_group_IT_number 1
loop_
_space_group_symop_operation_xyz
'x,y,z'
loop_
_atom_site_label
_atom_site_type_symbol
_atom_site_fract_x
_atom_site_fract_y
_atom_site_fract_z
Re1 Re 0.000 0.000 0.450
Ni1 Ni 0.000 0.000 0.046
Ni2 Ni 0.500 0.500 0.237
Ca1 Ca 0.500 0.500 0.767



# Ce2FeGe6Rh, optimized geometry, DFT PBE-GGA
# Total energy: -5.949 eV/atom
# Formation energy: -0.4107 eV per atom
# Magnetization: 2.12 μB/f.u.
# Symmetry: No. 59
data_Ce2FeGe6Rh
_chemical_formula_sum 'Ce4 Fe2 Ge12 Rh2'
_cell_length_a 6.461
_cell_length_b 6.922
_cell_length_c 8.781
_cell_angle_alpha 90.00
_cell_angle_beta 90.00
_cell_angle_gamma 90.00
_space_group_name_H-M_alt 'P 1'
_space_group_IT_number 1
loop_
_space_group_symop_operation_xyz
'x,y,z'
loop_
_atom_site_label
_atom_site_type_symbol
_atom_site_fract_x
_atom_site_fract_y
_atom_site_fract_z
Ge1 Ge 0.807 0.935 0.500
Ge2 Ge 0.500 0.247 0.744
Ge3 Ge 0.000 0.753 0.244
Ge4 Ge 0.500 0.247 0.256
Ge5 Ge 0.692 0.416 0.500
Ge6 Ge 0.307 0.065 0.000
Ge7 Ge 0.192 0.584 0.000
Ge8 Ge 0.808 0.584 0.000
Ge9 Ge 0.193 0.935 0.500
Ge10 Ge 0.000 0.753 0.756
Ge11 Ge 0.308 0.416 0.500
Ge12 Ge 0.693 0.065 0.000
Ce1 Ce 0.500 0.757 0.254
Ce2 Ce 0.000 0.243 0.246
Ce3 Ce 0.000 0.243 0.754
Ce4 Ce 0.500 0.757 0.746
Fe1 Fe 0.500 0.097 0.500
Fe2 Fe 0.000 0.903 0.000
Rh1 Rh 0.500 0.394 0.000
Rh2 Rh 0.000 0.606 0.500



# TlNiHg2, optimized geometry, DFT PBE-GGA
# Polymorph energy (0 for the lowest one): 218.0 meV/atom
# Total energy: -1.829 eV/atom
# Formation energy: 0.3592 eV per atom
# Magnetization: 0.00 μB/f.u.
# Symmetry: No. 122
data_TlNiHg2
_chemical_formula_sum 'Tl2 Ni2 Hg4'
_cell_length_a 4.241
_cell_length_b 4.241
_cell_length_c 10.584
_cell_angle_alpha 78.44
_cell_angle_beta 78.44
_cell_angle_gamma 90.00
_space_group_name_H-M_alt 'P 1'
_space_group_IT_number 1
loop_
_space_group_symop_operation_xyz
'x,y,z'
loop_
_atom_site_label
_atom_site_type_symbol
_atom_site_fract_x
_atom_site_fract_y
_atom_site_fract_z
Ni1 Ni 0.250 0.750 0.500
Ni2 Ni 0.500 0.500 0.000
Hg1 Hg 0.875 0.849 0.750
Hg2 Hg 0.375 0.401 0.750
Hg3 Hg 0.599 0.125 0.250
Hg4 Hg 0.151 0.625 0.250
Tl1 Tl 0.000 0.000 0.000
Tl2 Tl 0.750 0.250 0.500



# Th4AgHg7, optimized geometry, DFT PBE-GGA
# Total energy: -2.935 eV/atom
# Formation energy: -0.0476 eV per atom
# Magnetization: 0.00 μB/f.u.
# Symmetry: No. 12
data_Th4AgHg7
_chemical_formula_sum 'Th4 Ag1 Hg7'
_cell_length_a 5.208
_cell_length_b 9.120
_cell_length_c 8.070
_cell_angle_alpha 69.70
_cell_angle_beta 71.18
_cell_angle_gamma 73.41
_space_group_name_H-M_alt 'P 1'
_space_group_IT_number 1
loop_
_space_group_symop_operation_xyz
'x,y,z'
loop_
_atom_site_label
_atom_site_type_symbol
_atom_site_fract_x
_atom_site_fract_y
_atom_site_fract_z
Hg1 Hg 0.900 0.345 0.855
Hg2 Hg 0.816 0.975 0.393
Hg3 Hg 0.184 0.025 0.607
Hg4 Hg 0.500 0.000 0.000
Hg5 Hg 0.661 0.458 0.220
Hg6 Hg 0.339 0.542 0.780
Hg7 Hg 0.100 0.655 0.145
Th1 Th 0.435 0.756 0.375
Th2 Th 0.270 0.271 0.189
Th3 Th 0.565 0.244 0.625
Th4 Th 0.730 0.729 0.811
Ag1 Ag 0.000 0.000 0.000



# RbZrTc2O8, optimized geometry, DFT PBE-GGA
# Total energy: -7.658 eV/atom
# Formation energy from raw total energies: -1.831 eV per atom
# Magnetization: 3.03 μB/f.u.
# Symmetry: No. 148
data_RbZrTc2O8
_chemical_formula_sum 'Rb1 Zr1 Tc2 O8'
_cell_length_a 5.611
_cell_length_b 5.611
_cell_length_c 9.103
_cell_angle_alpha 72.05
_cell_angle_beta 72.05
_cell_angle_gamma 60.00
_space_group_name_H-M_alt 'P 1'
_space_group_IT_number 1
loop_
_space_group_symop_operation_xyz
'x,y,z'
loop_
_atom_site_label
_atom_site_type_symbol
_atom_site_fract_x
_atom_site_fract_y
_atom_site_fract_z
Zr1 Zr 0.000 0.000 0.000
O1 O 0.808 0.808 0.575
O2 O 0.382 0.780 0.855
O3 O 0.220 0.017 0.145
O4 O 0.618 0.220 0.145
O5 O 0.192 0.192 0.425
O6 O 0.017 0.618 0.145
O7 O 0.983 0.382 0.855
O8 O 0.780 0.983 0.855
Tc1 Tc 0.740 0.740 0.781
Tc2 Tc 0.260 0.260 0.219
Rb1 Rb 0.500 0.500 0.500



# BeHg4Pb, optimized geometry, DFT PBE-GGA
# Total energy: -0.916 eV/atom
# Formation energy: 0.5238 eV per atom
# Magnetization: 0.00 μB/f.u.
# Symmetry: No. 216
data_BeHg4Pb
_chemical_formula_sum 'Be1 Hg4 Pb1'
_cell_length_a 6.033
_cell_length_b 6.033
_cell_length_c 6.033
_cell_angle_alpha 60.00
_cell_angle_beta 60.00
_cell_angle_gamma 60.00
_space_group_name_H-M_alt 'P 1'
_space_group_IT_number 1
loop_
_space_group_symop_operation_xyz
'x,y,z'
loop_
_atom_site_label
_atom_site_type_symbol
_atom_site_fract_x
_atom_site_fract_y
_atom_site_fract_z
Be1 Be 0.000 0.000 0.000
Hg1 Hg 0.375 0.375 0.375
Hg2 Hg 0.375 0.375 0.876
Hg3 Hg 0.876 0.375 0.375
Hg4 Hg 0.375 0.876 0.375
Pb1 Pb 0.750 0.750 0.750



# AcTmSnRu, optimized geometry, DFT PBE-GGA
# Total energy: -5.657 eV/atom
# Formation energy: -0.1919 eV per atom
# Magnetization: 0.00 μB/f.u.
# Symmetry: No. 216
data_AcTmSnRu
_chemical_formula_sum 'Ac1 Tm1 Sn1 Ru1'
_cell_length_a 5.284
_cell_length_b 5.284
_cell_length_c 5.284
_cell_angle_alpha 60.00
_cell_angle_beta 60.00
_cell_angle_gamma 60.00
_space_group_name_H-M_alt 'P 1'
_space_group_IT_number 1
loop_
_space_group_symop_operation_xyz
'x,y,z'
loop_
_atom_site_label
_atom_site_type_symbol
_atom_site_fract_x
_atom_site_fract_y
_atom_site_fract_z
Ru1 Ru 0.750 0.750 0.750
Ac1 Ac 0.500 0.500 0.500
Sn1 Sn 0.250 0.250 0.250
Tm1 Tm 0.000 0.000 0.000



# LaSc2Cd, optimized geometry, DFT PBE-GGA
# Total energy: -4.712 eV/atom
# Formation energy: -0.0855 eV per atom
# Magnetization: 0.00 μB/f.u.
# Symmetry: No. 71
data_LaSc2Cd
_chemical_formula_sum 'La1 Sc2 Cd1'
_cell_length_a 6.377
_cell_length_b 6.377
_cell_length_c 5.523
_cell_angle_alpha 64.34
_cell_angle_beta 64.34
_cell_angle_gamma 32.72
_space_group_name_H-M_alt 'P 1'
_space_group_IT_number 1
loop_
_space_group_symop_operation_xyz
'x,y,z'
loop_
_atom_site_label
_atom_site_type_symbol
_atom_site_fract_x
_atom_site_fract_y
_atom_site_fract_z
La1 La 0.750 0.750 0.750
Sc1 Sc 0.975 0.975 0.025
Sc2 Sc 0.525 0.525 0.475
Cd1 Cd 0.250 0.250 0.250



# CuNiIr, optimized geometry, DFT PBE-GGA
# Polymorph energy (0 for the lowest one): 558.0 meV/atom
# Total energy: -5.618 eV/atom
# Formation energy: 0.6277 eV per atom
# Magnetization: 1.29 μB/f.u.
# Symmetry: No. 216
data_CuNiIr
_chemical_formula_sum 'Cu4 Ni4 Ir4'
_cell_length_a 6.149
_cell_length_b 6.149
_cell_length_c 6.149
_cell_angle_alpha 60.00
_cell_angle_beta 60.00
_cell_angle_gamma 60.00
_space_group_name_H-M_alt 'P 1'
_space_group_IT_number 1
loop_
_space_group_symop_operation_xyz
'x,y,z'
loop_
_atom_site_label
_atom_site_type_symbol
_atom_site_fract_x
_atom_site_fract_y
_atom_site_fract_z
Ni1 Ni 0.595 0.595 0.595
Ni2 Ni 0.595 0.595 0.215
Ni3 Ni 0.595 0.215 0.595
Ni4 Ni 0.215 0.595 0.595
Cu1 Cu 0.857 0.857 0.857
Cu2 Cu 0.430 0.857 0.857
Cu3 Cu 0.857 0.857 0.430
Cu4 Cu 0.857 0.430 0.857
Ir1 Ir 0.570 0.143 0.143
Ir2 Ir 0.143 0.570 0.143
Ir3 Ir 0.143 0.143 0.570
Ir4 Ir 0.143 0.143 0.143